# 1
Below is NaErMgAu after structural relaxation, with properties calculated at the GGA-PBE level.

Results
The calculated volume comes out at 22.03 Å³ per atom. As for the total energy: -11.836 eV per formula unit. Its density of states at the Fermi level is 4.75 states/eV per cell. For the formation energy, the calculation gives -0.2705 eV per atom.

Structure (extended XYZ):
```
4
Lattice="4.995 0.000 0.000 2.497 4.326 0.000 2.497 1.442 4.078" Properties=species:S:1:pos:R:3 pbc="T T T"
Mg 7.492 4.326 3.059
Au 0.000 0.000 0.000
Er 2.497 1.442 1.020
Na 4.995 2.884 2.039
```

=====

# 2
Below is NdErMg2Au4 after structural relaxation, with properties calculated at the GGA-PBE level.

Results
The calculated volume comes out at 21.45 Å³ per atom. As for the total energy: -31.700 eV per formula unit. Its density of states at the Fermi level is 4.88 states/eV per cell. For the formation energy, the calculation gives -0.7589 eV per atom.

Structure (extended XYZ):
```
8
Lattice="-1.556 4.017 2.405 0.098 0.116 4.931 7.059 4.433 2.223" Properties=species:S:1:pos:R:3 pbc="T T T"
Nd 0.000 0.000 0.000
Mg 4.170 6.412 7.170
Au 1.456 5.313 7.250
Er 2.801 4.283 4.779
Au 4.145 3.253 2.309
Au 5.503 5.377 4.700
Au 0.098 3.188 4.859
Mg 1.431 2.154 2.389
```

=====

- Number 1 is which compound?
  NaErMgAu

=====

- Among the records above, which one has the highest calculated volume?
  NaErMgAu